No. 1
TlAgRuBr6: relaxed, PBE.

a = 7.105 Å, b = 7.105 Å, c = 6.861 Å
α = 90.00°, β = 90.00°, γ = 120.00°
Atoms (fractional coordinates):
Tl 0.000 0.000 0.000
Ag 0.667 0.333 0.500
Ru 0.333 0.667 0.500
Br 0.036 0.388 0.289
Br 0.036 0.649 0.711
Br 0.351 0.388 0.711
Br 0.351 0.964 0.289
Br 0.612 0.649 0.289
Br 0.612 0.964 0.711

Space-group type: No. 149
Magnetic moment, μB per formula unit: 2.08
Density of states at the Fermi level, states/eV/f.u.: 5.96
Final energy, eV/atom: -3.1076
Formation energy from raw total energies, eV per formula unit: -3.44

No. 2
AgSBr: relaxed, PBE.

a = 11.834 Å, b = 4.569 Å, c = 6.830 Å
α = 90.00°, β = 105.01°, γ = 90.00°
Atoms (fractional coordinates):
Ag 0.125 0.000 0.484
Ag 0.375 0.500 0.516
Ag 0.625 0.500 0.484
Ag 0.875 0.000 0.516
S 0.166 0.500 0.616
S 0.334 0.000 0.384
S 0.666 0.000 0.616
S 0.834 0.500 0.384
Br 0.102 0.500 0.902
Br 0.398 0.000 0.098
Br 0.602 0.000 0.902
Br 0.898 0.500 0.098

Space-group type: No. 12
Magnetic moment, μB per formula unit: 0.00
Density of states at the Fermi level, states/eV/f.u.: 0.20
Final energy, eV/atom: -2.7438
Formation energy from raw total energies, eV per formula unit: 0.42
Polymorph energy (0 for the lowest one), meV/atom: 295

No. 3
AgSBr2: relaxed, PBE.

a = 7.076 Å, b = 7.407 Å, c = 12.036 Å
α = 90.00°, β = 122.56°, γ = 90.00°
Atoms (fractional coordinates):
Ag 0.239 0.153 0.380
Ag 0.239 0.847 0.880
Ag 0.761 0.153 0.120
Ag 0.761 0.847 0.620
S 0.361 0.423 0.744
S 0.361 0.577 0.244
S 0.639 0.423 0.756
S 0.639 0.577 0.256
Br 0.142 0.218 0.132
Br 0.142 0.782 0.632
Br 0.350 0.225 0.913
Br 0.350 0.775 0.413
Br 0.650 0.225 0.587
Br 0.650 0.775 0.087
Br 0.858 0.218 0.368
Br 0.858 0.782 0.868

Space-group type: No. 13
Magnetic moment, μB per formula unit: 0.00
Final energy, eV/atom: -2.6910
Formation energy from raw total energies, eV per formula unit: -0.44
Polymorph energy (0 for the lowest one), meV/atom: 0

No. 4
AgSBr: relaxed, PBE.

a = 13.341 Å, b = 3.828 Å, c = 6.491 Å
α = 90.00°, β = 106.94°, γ = 90.00°
Atoms (fractional coordinates):
Ag 0.177 0.000 0.197
Ag 0.323 0.500 0.803
Ag 0.677 0.500 0.197
Ag 0.823 0.000 0.803
S 0.045 0.500 0.151
S 0.455 0.000 0.849
S 0.545 0.000 0.151
S 0.955 0.500 0.849
Br 0.177 0.000 0.709
Br 0.323 0.500 0.291
Br 0.677 0.500 0.709
Br 0.823 0.000 0.291

Space-group type: No. 12
Magnetic moment, μB per formula unit: 0.00
Density of states at the Fermi level, states/eV/f.u.: 0.89
Final energy, eV/atom: -3.0385
Formation energy from raw total energies, eV per formula unit: -0.46
Polymorph energy (0 for the lowest one), meV/atom: 0

No. 5
Ag4S2Br5: relaxed, PBE.

a = 4.082 Å, b = 8.587 Å, c = 9.335 Å
α = 104.67°, β = 99.88°, γ = 93.05°
Atoms (fractional coordinates):
Ag 0.001 0.275 0.004
Ag 0.357 0.922 0.655
Ag 0.643 0.078 0.345
Ag 0.999 0.725 0.996
S 0.471 0.075 0.935
S 0.529 0.925 0.065
Br 0.084 0.289 0.305
Br 0.234 0.829 0.351
Br 0.500 0.500 0.000
Br 0.766 0.171 0.649
Br 0.916 0.711 0.695

Space-group type: No. 2
Magnetic moment, μB per formula unit: 0.00
Density of states at the Fermi level, states/eV/f.u.: 5.00
Final energy, eV/atom: -2.7427
Formation energy from raw total energies, eV per formula unit: -2.15

No. 6
AgSBr2: relaxed, PBE.

a = 5.267 Å, b = 5.267 Å, c = 16.281 Å
α = 90.00°, β = 90.00°, γ = 90.00°
Atoms (fractional coordinates):
Ag 0.000 0.000 0.000
Ag 0.000 0.500 0.250
Ag 0.500 0.000 0.750
Ag 0.500 0.500 0.500
S 0.000 0.000 0.500
S 0.000 0.500 0.750
S 0.500 0.000 0.250
S 0.500 0.500 0.000
Br 0.222 0.250 0.625
Br 0.250 0.722 0.875
Br 0.250 0.778 0.375
Br 0.278 0.250 0.125
Br 0.722 0.750 0.125
Br 0.750 0.222 0.375
Br 0.750 0.278 0.875
Br 0.778 0.750 0.625

Space-group type: No. 122
Magnetic moment, μB per formula unit: 0.00
Density of states at the Fermi level, states/eV/f.u.: 1.45
Final energy, eV/atom: -2.2294
Formation energy from raw total energies, eV per formula unit: 1.41
Polymorph energy (0 for the lowest one), meV/atom: 462

No. 7
Ag8S4Br: relaxed, PBE.

a = 8.025 Å, b = 8.025 Å, c = 8.025 Å
α = 60.00°, β = 60.00°, γ = 60.00°
Atoms (fractional coordinates):
Ag 0.081 0.640 0.640
Ag 0.093 0.093 0.093
Ag 0.093 0.093 0.720
Ag 0.093 0.720 0.093
Ag 0.640 0.081 0.640
Ag 0.640 0.640 0.081
Ag 0.640 0.640 0.640
Ag 0.720 0.093 0.093
S 0.390 0.870 0.870
S 0.870 0.390 0.870
S 0.870 0.870 0.390
S 0.870 0.870 0.870
Br 0.500 0.500 0.500

Space-group type: No. 216
Magnetic moment, μB per formula unit: 0.00
Density of states at the Fermi level, states/eV/f.u.: 8.24
Final energy, eV/atom: -3.0007
Formation energy from raw total energies, eV per formula unit: 1.98

No. 8
Ag12S5Br3: relaxed, PBE.

a = 13.543 Å, b = 13.543 Å, c = 13.543 Å
α = 109.47°, β = 109.47°, γ = 109.47°
Atoms (fractional coordinates):
Ag 0.029 0.211 0.097
Ag 0.029 0.319 0.932
Ag 0.068 0.597 0.386
Ag 0.068 0.971 0.681
Ag 0.097 0.029 0.211
Ag 0.097 0.568 0.886
Ag 0.114 0.711 0.681
Ag 0.114 0.903 0.432
Ag 0.181 0.211 0.614
Ag 0.181 0.471 0.568
Ag 0.211 0.097 0.029
Ag 0.211 0.614 0.181
Ag 0.289 0.319 0.886
Ag 0.289 0.471 0.403
Ag 0.319 0.886 0.289
Ag 0.319 0.932 0.029
Ag 0.386 0.068 0.597
Ag 0.386 0.819 0.789
Ag 0.403 0.289 0.471
Ag 0.403 0.614 0.932
Ag 0.432 0.114 0.903
Ag 0.432 0.819 0.529
Ag 0.471 0.403 0.289
Ag 0.471 0.568 0.181
Ag 0.529 0.432 0.819
Ag 0.529 0.597 0.711
Ag 0.568 0.181 0.471
Ag 0.568 0.886 0.097
Ag 0.597 0.386 0.068
Ag 0.597 0.711 0.529
Ag 0.614 0.181 0.211
Ag 0.614 0.932 0.403
Ag 0.681 0.068 0.971
Ag 0.681 0.114 0.711
Ag 0.711 0.529 0.597
Ag 0.711 0.681 0.114
Ag 0.789 0.386 0.819
Ag 0.789 0.903 0.971
Ag 0.819 0.529 0.432
Ag 0.819 0.789 0.386
Ag 0.886 0.097 0.568
Ag 0.886 0.289 0.319
Ag 0.903 0.432 0.114
Ag 0.903 0.971 0.789
Ag 0.932 0.029 0.319
Ag 0.932 0.403 0.614
Ag 0.971 0.681 0.068
Ag 0.971 0.789 0.903
S 0.000 0.000 0.000
S 0.000 0.000 0.500
S 0.000 0.500 0.000
S 0.000 0.500 0.500
S 0.125 0.750 0.875
S 0.125 0.875 0.250
S 0.250 0.125 0.875
S 0.250 0.625 0.375
S 0.375 0.250 0.625
S 0.375 0.625 0.750
S 0.500 0.000 0.000
S 0.500 0.000 0.500
S 0.500 0.500 0.000
S 0.500 0.500 0.500
S 0.625 0.375 0.250
S 0.625 0.750 0.375
S 0.750 0.375 0.625
S 0.750 0.875 0.125
S 0.875 0.125 0.750
S 0.875 0.250 0.125
Br 0.125 0.250 0.375
Br 0.125 0.375 0.750
Br 0.250 0.375 0.125
Br 0.250 0.875 0.625
Br 0.375 0.125 0.250
Br 0.375 0.750 0.125
Br 0.625 0.250 0.875
Br 0.625 0.875 0.750
Br 0.750 0.125 0.375
Br 0.750 0.625 0.875
Br 0.875 0.625 0.250
Br 0.875 0.750 0.625

Space-group type: No. 230
Magnetic moment, μB per formula unit: 0.00
Density of states at the Fermi level, states/eV/f.u.: 12.11
Final energy, eV/atom: -3.0121
Formation energy from raw total energies, eV per formula unit: -0.37

No. 9
Ag4SBr: relaxed, PBE.

a = 9.983 Å, b = 9.983 Å, c = 4.020 Å
α = 90.25°, β = 90.25°, γ = 140.24°
Atoms (fractional coordinates):
Ag 0.076 0.465 0.261
Ag 0.090 0.201 0.002
Ag 0.201 0.090 0.502
Ag 0.465 0.076 0.761
Ag 0.535 0.924 0.239
Ag 0.799 0.910 0.498
Ag 0.910 0.799 0.998
Ag 0.924 0.535 0.739
S 0.190 0.810 0.250
S 0.810 0.190 0.750
Br 0.401 0.599 0.750
Br 0.599 0.401 0.250

Space-group type: No. 15
Magnetic moment, μB per formula unit: 0.00
Density of states at the Fermi level, states/eV/f.u.: 0.66
Final energy, eV/atom: -2.8807
Formation energy from raw total energies, eV per formula unit: -0.08

No. 10
Ag5S2Br2: relaxed, PBE.

a = 6.888 Å, b = 6.888 Å, c = 7.278 Å
α = 117.72°, β = 117.72°, γ = 44.23°
Atoms (fractional coordinates):
Ag 0.000 0.000 0.000
Ag 0.112 0.112 0.491
Ag 0.370 0.370 0.126
Ag 0.630 0.630 0.874
Ag 0.888 0.888 0.509
S 0.139 0.139 0.864
S 0.861 0.861 0.136
Br 0.378 0.378 0.647
Br 0.622 0.622 0.353

Space-group type: No. 12
Magnetic moment, μB per formula unit: 0.00
Density of states at the Fermi level, states/eV/f.u.: 3.27
Final energy, eV/atom: -2.9818
Formation energy from raw total energies, eV per formula unit: -0.98
Polymorph energy (0 for the lowest one), meV/atom: 0

No. 11
Ag7S2Br2: relaxed, PBE.

a = 6.083 Å, b = 6.083 Å, c = 6.978 Å
α = 90.00°, β = 90.00°, γ = 93.50°
Atoms (fractional coordinates):
Ag 0.000 0.000 0.000
Ag 0.000 0.500 0.208
Ag 0.000 0.500 0.792
Ag 0.500 0.000 0.208
Ag 0.500 0.000 0.792
Ag 0.500 0.500 0.290
Ag 0.500 0.500 0.710
S 0.288 0.288 0.000
S 0.712 0.712 0.000
Br 0.212 0.788 0.500
Br 0.788 0.212 0.500

Space-group type: No. 65
Magnetic moment, μB per formula unit: 0.00
Density of states at the Fermi level, states/eV/f.u.: 2.58
Final energy, eV/atom: -2.8688
Formation energy from raw total energies, eV per formula unit: 0.00
Polymorph energy (0 for the lowest one), meV/atom: 43

No. 12
AgSBr: relaxed, PBE.

a = 7.891 Å, b = 4.431 Å, c = 11.642 Å
α = 90.00°, β = 96.66°, γ = 90.00°
Atoms (fractional coordinates):
Ag 0.187 0.000 0.415
Ag 0.313 0.500 0.585
Ag 0.687 0.500 0.415
Ag 0.813 0.000 0.585
S 0.045 0.500 0.928
S 0.455 0.000 0.072
S 0.545 0.000 0.928
S 0.955 0.500 0.072
Br 0.157 0.000 0.659
Br 0.343 0.500 0.341
Br 0.657 0.500 0.659
Br 0.843 0.000 0.341

Space-group type: No. 12
Magnetic moment, μB per formula unit: 1.00
Final energy, eV/atom: -2.9159
Formation energy from raw total energies, eV per formula unit: -0.10
Polymorph energy (0 for the lowest one), meV/atom: 123

No. 13
Ag4S2Br3: relaxed, PBE.

a = 8.068 Å, b = 8.068 Å, c = 8.733 Å
α = 95.00°, β = 95.00°, γ = 56.93°
Atoms (fractional coordinates):
Ag 0.126 0.785 0.992
Ag 0.215 0.874 0.508
Ag 0.303 0.311 0.255
Ag 0.311 0.303 0.755
Ag 0.689 0.697 0.245
Ag 0.697 0.689 0.745
Ag 0.785 0.126 0.492
Ag 0.874 0.215 0.008
S 0.143 0.470 0.003
S 0.470 0.143 0.503
S 0.530 0.857 0.497
S 0.857 0.530 0.997
Br 0.015 0.721 0.379
Br 0.279 0.985 0.121
Br 0.399 0.601 0.750
Br 0.601 0.399 0.250
Br 0.721 0.015 0.879
Br 0.985 0.279 0.621

Space-group type: No. 15
Magnetic moment, μB per formula unit: 0.00
Density of states at the Fermi level, states/eV/f.u.: 3.69
Final energy, eV/atom: -2.9040
Formation energy from raw total energies, eV per formula unit: -1.46

No. 14
Ag4SBr2: relaxed, PBE.

a = 4.972 Å, b = 4.972 Å, c = 14.380 Å
α = 90.00°, β = 90.00°, γ = 90.00°
Atoms (fractional coordinates):
Ag 0.000 0.000 0.171
Ag 0.000 0.000 0.829
Ag 0.000 0.500 0.000
Ag 0.000 0.500 0.500
Ag 0.500 0.000 0.000
Ag 0.500 0.000 0.500
Ag 0.500 0.500 0.329
Ag 0.500 0.500 0.671
S 0.000 0.000 0.000
S 0.500 0.500 0.500
Br 0.000 0.000 0.348
Br 0.000 0.000 0.652
Br 0.500 0.500 0.152
Br 0.500 0.500 0.848

Space-group type: No. 139
Magnetic moment, μB per formula unit: 0.00
Final energy, eV/atom: -2.8454
Formation energy from raw total energies, eV per formula unit: -1.04
Polymorph energy (0 for the lowest one), meV/atom: 30

No. 15
Ag2S2Br: relaxed, PBE.

a = 6.518 Å, b = 4.880 Å, c = 7.548 Å
α = 90.00°, β = 102.73°, γ = 90.00°
Atoms (fractional coordinates):
Ag 0.073 0.000 0.292
Ag 0.427 0.500 0.708
Ag 0.573 0.500 0.292
Ag 0.927 0.000 0.708
S 0.000 0.298 0.000
S 0.000 0.702 0.000
S 0.500 0.202 0.000
S 0.500 0.798 0.000
Br 0.000 0.500 0.500
Br 0.500 0.000 0.500

Space-group type: No. 12
Magnetic moment, μB per formula unit: 0.00
Density of states at the Fermi level, states/eV/f.u.: 1.06
Final energy, eV/atom: -3.0763
Formation energy from raw total energies, eV per formula unit: 0.25

No. 16
AgS4Br: relaxed, PBE.

a = 4.117 Å, b = 9.153 Å, c = 9.507 Å
α = 84.68°, β = 81.86°, γ = 88.24°
Atoms (fractional coordinates):
Ag 0.080 0.040 0.280
Ag 0.920 0.960 0.720
S 0.120 0.234 0.425
S 0.176 0.945 0.046
S 0.331 0.151 0.591
S 0.331 0.534 0.941
S 0.669 0.466 0.059
S 0.669 0.849 0.409
S 0.824 0.055 0.954
S 0.880 0.766 0.575
Br 0.326 0.343 0.760
Br 0.674 0.657 0.240

Space-group type: No. 2
Magnetic moment, μB per formula unit: 0.00
Density of states at the Fermi level, states/eV/f.u.: 2.16
Final energy, eV/atom: -3.3420
Formation energy from raw total energies, eV per formula unit: 0.98

No. 17
Ag4SBr2: relaxed, PBE.

a = 6.865 Å, b = 4.254 Å, c = 6.930 Å
α = 90.00°, β = 117.43°, γ = 90.00°
Atoms (fractional coordinates):
Ag 0.066 0.000 0.237
Ag 0.406 0.500 0.173
Ag 0.594 0.500 0.827
Ag 0.934 0.000 0.763
S 0.000 0.500 0.000
Br 0.320 0.000 0.676
Br 0.680 0.000 0.324

Space-group type: No. 10
Magnetic moment, μB per formula unit: 0.00
Density of states at the Fermi level, states/eV/f.u.: 0.43
Final energy, eV/atom: -2.8514
Formation energy from raw total energies, eV per formula unit: -1.08
Polymorph energy (0 for the lowest one), meV/atom: 24

No. 18
AgS3Br: relaxed, PBE.

a = 4.886 Å, b = 4.886 Å, c = 4.886 Å
α = 90.00°, β = 90.00°, γ = 90.00°
Atoms (fractional coordinates):
Ag 0.000 0.000 0.000
S 0.000 0.500 0.500
S 0.500 0.000 0.500
S 0.500 0.500 0.000
Br 0.500 0.500 0.500

Space-group type: No. 221
Magnetic moment, μB per formula unit: 0.00
Density of states at the Fermi level, states/eV/f.u.: 2.88
Final energy, eV/atom: -2.2893
Formation energy from raw total energies, eV per formula unit: 5.46
Polymorph energy (0 for the lowest one), meV/atom: 1185

No. 19
AgSBr3: relaxed, PBE.

a = 4.295 Å, b = 5.540 Å, c = 13.538 Å
α = 95.52°, β = 94.13°, γ = 92.68°
Atoms (fractional coordinates):
Ag 0.170 0.232 0.410
Ag 0.830 0.768 0.590
S 0.094 0.445 0.063
S 0.906 0.555 0.937
Br 0.156 0.738 0.433
Br 0.287 0.803 0.149
Br 0.458 0.785 0.733
Br 0.542 0.215 0.267
Br 0.713 0.197 0.851
Br 0.844 0.262 0.567

Space-group type: No. 2
Magnetic moment, μB per formula unit: 0.39
Density of states at the Fermi level, states/eV/f.u.: 1.26
Final energy, eV/atom: -2.5019
Formation energy from raw total energies, eV per formula unit: -0.51
Polymorph energy (0 for the lowest one), meV/atom: 0

No. 20
AgSBr2: relaxed, PBE.

a = 7.237 Å, b = 7.237 Å, c = 7.237 Å
α = 90.00°, β = 90.00°, γ = 90.00°
Atoms (fractional coordinates):
Ag 0.000 0.000 0.000
Ag 0.000 0.500 0.500
Ag 0.500 0.000 0.500
Ag 0.500 0.500 0.000
S 0.000 0.000 0.500
S 0.000 0.500 0.000
S 0.500 0.000 0.000
S 0.500 0.500 0.500
Br 0.250 0.250 0.250
Br 0.250 0.250 0.750
Br 0.250 0.750 0.250
Br 0.250 0.750 0.750
Br 0.750 0.250 0.250
Br 0.750 0.250 0.750
Br 0.750 0.750 0.250
Br 0.750 0.750 0.750

Space-group type: No. 225
Magnetic moment, μB per formula unit: 2.66
Density of states at the Fermi level, states/eV/f.u.: 7.76
Final energy, eV/atom: -1.9986
Formation energy from raw total energies, eV per formula unit: 2.33
Polymorph energy (0 for the lowest one), meV/atom: 692